(1)
# PBE-GGA PdRu, optimized geometry
# Magnetization, μB/atom: 0.000
# Raw total energy, eV per atom: -6.995
data_PdRu
_cell_length_a 2.7509
_cell_length_b 2.7509
_cell_length_c 4.4484
_cell_angle_alpha 90.00
_cell_angle_beta 90.00
_cell_angle_gamma 120.00
_space_group_name_H-M_alt 'P -6 m 2'
_space_group_IT_number 187
_space_group_name_Hall 'P -6 2'
loop_
_atom_site_label
_atom_site_fract_x
_atom_site_fract_y
_atom_site_fract_z
Pd1 0.0000 0.0000 0.0000
Ru1 0.3333 0.6667 0.5000

---

(2)
# PBE-GGA PdRu, optimized geometry
# Magnetization, μB/atom: 0.000
# Raw total energy, eV per atom: -7.016
data_PdRu
_cell_length_a 2.733
_cell_length_b 13.370
_cell_length_c 4.786
_cell_angle_alpha 90.00
_cell_angle_beta 90.00
_cell_angle_gamma 90.00
_space_group_name_H-M_alt 'P m m n'
_space_group_IT_number 59
loop_
_space_group_symop_operation_xyz
'x,y,z'
'-x,-y,-z'
'-x+1/2,-y+1/2,z'
'x+1/2,y+1/2,-z'
'x+1/2,-y,-z'
'-x+1/2,y,z'
'-x,y+1/2,-z'
'x,-y+1/2,z'
loop_
_atom_site_label
_atom_site_fract_x
_atom_site_fract_y
_atom_site_fract_z
Pd1 0.250 0.083 0.086
Pd2 0.250 0.750 0.749
Ru1 0.250 0.250 0.744
Ru2 0.250 0.586 0.414

---

(3)
# PBE-GGA PdRu, optimized geometry
# Magnetization, μB/atom: 0.238
# Raw total energy, eV per atom: -5.661
data_PdRu
_cell_length_a 5.592
_cell_length_b 5.592
_cell_length_c 5.592
_cell_angle_alpha 90.00
_cell_angle_beta 90.00
_cell_angle_gamma 90.00
_space_group_name_H-M_alt 'F -4 3 m'
_space_group_IT_number 216
_space_group_name_Hall 'F -4 2 3'
loop_
_atom_site_label
_atom_site_fract_x
_atom_site_fract_y
_atom_site_fract_z
Pd1 0.000 0.000 0.000
Ru1 0.250 0.250 0.250

---

- Among the records above, which one has the highest magnetization?
  number 3

---

Please write out number 1 again, unchanged.
# PBE-GGA PdRu, optimized geometry
# Magnetization, μB/atom: 0.000
# Raw total energy, eV per atom: -6.995
data_PdRu
_cell_length_a 2.7509
_cell_length_b 2.7509
_cell_length_c 4.4484
_cell_angle_alpha 90.00
_cell_angle_beta 90.00
_cell_angle_gamma 120.00
_space_group_name_H-M_alt 'P -6 m 2'
_space_group_IT_number 187
_space_group_name_Hall 'P -6 2'
loop_
_atom_site_label
_atom_site_fract_x
_atom_site_fract_y
_atom_site_fract_z
Pd1 0.0000 0.0000 0.0000
Ru1 0.3333 0.6667 0.5000